Below is LaTc4As after structural relaxation, with properties calculated at the PBEsol level.

Unit cell a=5.279 b=5.279 c=5.279 alpha=60.00 beta=60.00 gamma=60.00
Sites, in units of the cell vectors:
La (0.000, 0.000, 0.000)
Tc (0.377, 0.377, 0.377)
Tc (0.377, 0.377, 0.870)
Tc (0.377, 0.870, 0.377)
Tc (0.870, 0.377, 0.377)
As (0.750, 0.750, 0.750)

The calculation puts the total energy at -8.91 eV per atom. The value obtained for the formation energy is 347 meV per atom.



Below is LaTc2As after structural relaxation, with properties calculated at the PBEsol level.

Unit cell a=3.296 b=5.128 c=8.319 alpha=90.00 beta=90.00 gamma=90.00
Sites, in units of the cell vectors:
La (0.000, 0.000, 0.000)
La (0.500, 0.500, 0.000)
Tc (0.000, 0.500, 0.285)
Tc (0.000, 0.500, 0.715)
Tc (0.500, 0.000, 0.285)
Tc (0.500, 0.000, 0.715)
As (0.000, 0.000, 0.500)
As (0.500, 0.500, 0.500)

The calculation puts the total energy at -7.88 eV per atom. The value obtained for the formation energy is 368 meV per atom.



Below is La2TeAs after structural relaxation, with properties calculated at the PBEsol level.

Unit cell a=4.432 b=4.432 c=11.221 alpha=90.00 beta=90.00 gamma=90.00
Sites, in units of the cell vectors:
La (0.000, 0.000, 0.000)
La (0.000, 0.500, 0.250)
La (0.500, 0.000, 0.750)
La (0.500, 0.500, 0.500)
Te (0.000, 0.000, 0.500)
Te (0.500, 0.500, 0.000)
As (0.000, 0.500, 0.750)
As (0.500, 0.000, 0.250)

The calculation puts the total energy at -5.98 eV per atom. Its offset from the most stable computed form is 0.482 eV per atom. The value obtained for the uncorrected formation energy is -1152.9 meV/atom.



Below is La2TeAs after structural relaxation, with properties calculated at the PBEsol level.

Unit cell a=4.379 b=4.379 c=22.018 alpha=90.00 beta=90.00 gamma=120.00
Sites, in units of the cell vectors:
La (0.000, 0.000, 0.242)
La (0.000, 0.000, 0.758)
La (0.333, 0.667, 0.425)
La (0.333, 0.667, 0.908)
La (0.667, 0.333, 0.092)
La (0.667, 0.333, 0.575)
Te (0.000, 0.000, 0.000)
Te (0.333, 0.667, 0.667)
Te (0.667, 0.333, 0.333)
As (0.000, 0.000, 0.500)
As (0.333, 0.667, 0.167)
As (0.667, 0.333, 0.833)

The calculation puts the total energy at -6.47 eV per atom. Its offset from the most stable computed form is 0.000 eV per atom. The value obtained for the uncorrected formation energy is -1634.6 meV/atom.



Below is La2TeAs after structural relaxation, with properties calculated at the PBEsol level.

Unit cell a=4.300 b=4.300 c=23.021 alpha=90.00 beta=90.00 gamma=120.00
Sites, in units of the cell vectors:
La (0.000, 0.000, 0.000)
La (0.000, 0.000, 0.187)
La (0.333, 0.667, 0.667)
La (0.333, 0.667, 0.854)
La (0.667, 0.333, 0.333)
La (0.667, 0.333, 0.520)
Te (0.000, 0.000, 0.761)
Te (0.333, 0.667, 0.428)
Te (0.667, 0.333, 0.094)
As (0.000, 0.000, 0.592)
As (0.333, 0.667, 0.259)
As (0.667, 0.333, 0.926)

The calculation puts the total energy at -6.40 eV per atom. Its offset from the most stable computed form is 0.061 eV per atom. The value obtained for the uncorrected formation energy is -1573.2 meV/atom.



Below is La2TeAs after structural relaxation, with properties calculated at the PBEsol level.

Unit cell a=4.421 b=4.421 c=6.243 alpha=90.00 beta=90.00 gamma=90.00
Sites, in units of the cell vectors:
La (0.000, 0.000, 0.000)
La (0.500, 0.500, 0.500)
Te (0.000, 0.000, 0.500)
As (0.500, 0.500, 0.000)

The calculation puts the total energy at -6.40 eV per atom. Its offset from the most stable computed form is 0.067 eV per atom. The value obtained for the uncorrected formation energy is -1567.6 meV/atom.



Below is LaTlAs after structural relaxation, with properties calculated at the PBEsol level.

Unit cell a=3.756 b=3.756 c=10.947 alpha=90.00 beta=90.00 gamma=90.00
Sites, in units of the cell vectors:
La (0.000, 0.000, 0.000)
La (0.500, 0.500, 0.500)
Tl (0.000, 0.000, 0.705)
Tl (0.500, 0.500, 0.205)
As (0.000, 0.000, 0.351)
As (0.500, 0.500, 0.851)

The calculation puts the total energy at -4.91 eV per atom. The value obtained for the formation energy is -551 meV per atom.



Below is LaTlAs after structural relaxation, with properties calculated at the PBEsol level.

Unit cell a=5.047 b=5.566 c=11.096 alpha=90.00 beta=90.00 gamma=90.00
Sites, in units of the cell vectors:
La (0.000, 0.000, 0.000)
La (0.000, 0.500, 0.500)
La (0.500, 0.000, 0.500)
La (0.500, 0.500, 0.000)
Tl (0.000, 0.000, 0.705)
Tl (0.000, 0.500, 0.205)
Tl (0.500, 0.000, 0.205)
Tl (0.500, 0.500, 0.705)
As (0.000, 0.000, 0.353)
As (0.000, 0.500, 0.853)
As (0.500, 0.000, 0.853)
As (0.500, 0.500, 0.353)

The calculation puts the total energy at -4.91 eV per atom. The value obtained for the formation energy is -552 meV per atom.



Q: Which formula does entry 6 have?
A: La2TeAs



What did the seventh record say?
Below is LaTlAs after structural relaxation, with properties calculated at the PBEsol level.

Unit cell a=3.756 b=3.756 c=10.947 alpha=90.00 beta=90.00 gamma=90.00
Sites, in units of the cell vectors:
La (0.000, 0.000, 0.000)
La (0.500, 0.500, 0.500)
Tl (0.000, 0.000, 0.705)
Tl (0.500, 0.500, 0.205)
As (0.000, 0.000, 0.351)
As (0.500, 0.500, 0.851)

The calculation puts the total energy at -4.91 eV per atom. The value obtained for the formation energy is -551 meV per atom.